A geometry-optimized MgCl structure, computed with PBE.

* final energy: -5.17 eV/f.u.
* total magnetization: 0.00 Bohr magnetons per cell
* space group: No. 8
* energy relative to the elements, uncorrected: -864.4 meV/atom
* calculated volume: 135.2 Å³ per cell

Cell lengths 6.547, 3.519, 6.091 Å; angles 90.00, 105.57, 90.00 degrees
Fractional positions:
1 Mg 0.491 0.000 0.296
2 Cl 0.254 0.500 0.061
3 Mg 0.491 0.500 0.796
4 Cl 0.254 0.000 0.561

=====

A geometry-optimized MgCl structure, computed with PBE.

* final energy: -4.78 eV/f.u.
* total magnetization: 0.00 Bohr magnetons per cell
* space group: No. 225
* energy relative to the elements, uncorrected: -670.8 meV/atom
* calculated volume: 50.8 Å³ per cell

Cell lengths 4.157, 4.157, 4.157 Å; angles 60.00, 60.00, 60.00 degrees
Fractional positions:
1 Mg 0.500 0.500 0.500
2 Cl 0.000 0.000 0.000

=====

A geometry-optimized MgCl4 structure, computed with PBE.

* final energy: -12.19 eV/f.u.
* total magnetization: 2.03 Bohr magnetons per cell
* space group: No. 221
* energy relative to the elements, uncorrected: -640.9 meV/atom
* calculated volume: 122.6 Å³ per cell

Cell lengths 4.968, 4.968, 4.968 Å; angles 90.00, 90.00, 90.00 degrees
Last column: magnetic moment on the atom in μB.
Fractional positions:
1 Cl 0.000 0.000 0.000  0.78
2 Mg 0.500 0.500 0.500  0.00
3 Cl 0.500 0.000 0.500  0.28
4 Cl 0.000 0.500 0.500  0.28
5 Cl 0.500 0.500 0.000  0.28

=====

A geometry-optimized MgCl structure, computed with PBE.

* final energy: -4.93 eV/f.u.
* total magnetization: 0.00 Bohr magnetons per cell
* space group: No. 51
* energy relative to the elements, uncorrected: -745.0 meV/atom
* calculated volume: 104.3 Å³ per cell

Cell lengths 3.923, 6.943, 3.828 Å; angles 90.00, 90.00, 90.00 degrees
Fractional positions:
1 Cl 0.000 0.000 0.167
2 Mg 0.500 0.000 0.652
3 Cl 0.000 0.500 0.166
4 Mg 0.500 0.500 0.682

=====

A geometry-optimized MgCl structure, computed with PBE.

* final energy: -4.82 eV/f.u.
* total magnetization: 0.00 Bohr magnetons per cell
* space group: No. 136
* energy relative to the elements, uncorrected: -687.7 meV/atom
* calculated volume: 219.0 Å³ per cell

Cell lengths 6.325, 6.325, 5.475 Å; angles 90.00, 90.00, 90.00 degrees
Fractional positions:
1 Cl 0.699 0.699 0.000
2 Mg 0.277 0.723 0.000
3 Mg 0.777 0.777 0.500
4 Cl 0.301 0.301 0.000
5 Cl 0.801 0.199 0.500
6 Mg 0.723 0.277 0.000
7 Mg 0.223 0.223 0.500
8 Cl 0.199 0.801 0.500

=====

A geometry-optimized MgCl3 structure, computed with PBE.

* final energy: -11.67 eV/f.u.
* total magnetization: 0.98 Bohr magnetons per cell
* space group: No. 10
* energy relative to the elements, uncorrected: -1134.6 meV/atom
* calculated volume: 99.5 Å³ per cell

Cell lengths 3.772, 5.537, 6.385 Å; angles 48.25, 90.00, 90.00 degrees
Last column: magnetic moment on the atom in μB.
Fractional positions:
1 Cl 0.000 0.076 0.106  0.32
2 Cl 0.000 0.424 0.394  0.32
3 Cl 0.500 0.750 0.750  0.15
4 Mg 0.500 0.250 0.250  0.00

=====

A geometry-optimized Mg2Cl structure, computed with PBE.

* final energy: -6.97 eV/f.u.
* total magnetization: 0.00 Bohr magnetons per cell
* space group: No. 71
* energy relative to the elements, uncorrected: -646.3 meV/atom
* calculated volume: 73.2 Å³ per cell
* offset from the most stable computed form: 0.049 eV/f.u.

Cell lengths 6.415, 6.415, 6.415 Å; angles 149.31, 146.95, 45.72 degrees
Fractional positions:
1 Mg 0.326 0.826 0.500
2 Mg 0.674 0.174 0.500
3 Cl 0.500 0.500 0.000

=====

A geometry-optimized Mg2Cl structure, computed with PBE.

* final energy: -6.83 eV/f.u.
* total magnetization: 0.00 Bohr magnetons per cell
* space group: No. 12
* energy relative to the elements, uncorrected: -598.6 meV/atom
* calculated volume: 145.5 Å³ per cell
* offset from the most stable computed form: 0.192 eV/f.u.

Cell lengths 5.995, 5.995, 7.898 Å; angles 77.72, 77.72, 31.72 degrees
Fractional positions:
1 Cl 0.848 0.848 0.640
2 Mg 0.812 0.812 0.145
3 Mg 0.536 0.536 0.181
4 Cl 0.152 0.152 0.360
5 Mg 0.464 0.464 0.819
6 Mg 0.188 0.188 0.855

=====

A geometry-optimized MgCl3 structure, computed with PBE.

* final energy: -10.52 eV/f.u.
* total magnetization: 0.00 Bohr magnetons per cell
* space group: No. 99
* energy relative to the elements, uncorrected: -846.2 meV/atom
* calculated volume: 107.4 Å³ per cell

Cell lengths 3.948, 3.947, 6.892 Å; angles 90.00, 90.00, 90.00 degrees
Fractional positions:
1 Cl 0.500 0.000 0.417
2 Cl 0.000 0.000 0.003
3 Cl 0.500 0.500 0.003
4 Mg 0.000 0.500 0.244

=====

A geometry-optimized MgCl3 structure, computed with PBE.

* final energy: -9.49 eV/f.u.
* total magnetization: 0.00 Bohr magnetons per cell
* space group: No. 166
* energy relative to the elements, uncorrected: -589.9 meV/atom
* calculated volume: 92.0 Å³ per cell

Cell lengths 4.939, 4.939, 4.939 Å; angles 109.68, 109.68, 109.68 degrees
Fractional positions:
1 Cl 0.000 0.000 0.000
2 Cl 0.000 0.500 0.500
3 Cl 0.500 0.000 0.500
4 Mg 0.500 0.500 0.000

=====

A geometry-optimized MgCl structure, computed with PBE.

* final energy: -5.93 eV/f.u.
* total magnetization: 0.00 Bohr magnetons per cell
* space group: No. 2
* energy relative to the elements, uncorrected: -1244.7 meV/atom
* calculated volume: 104.0 Å³ per cell

Cell lengths 3.594, 3.598, 9.444 Å; angles 96.68, 94.01, 119.92 degrees
Fractional positions:
1 Mg 0.893 0.736 0.635
2 Mg 0.107 0.264 0.365
3 Cl 0.628 0.150 0.788
4 Cl 0.372 0.850 0.212

=====

A geometry-optimized MgCl structure, computed with PBE.

* final energy: -5.55 eV/f.u.
* total magnetization: 0.00 Bohr magnetons per cell
* space group: No. 63
* energy relative to the elements, uncorrected: -1056.3 meV/atom
* calculated volume: 93.0 Å³ per cell

Cell lengths 6.071, 6.071, 3.506 Å; angles 90.00, 90.00, 134.00 degrees
Fractional positions:
1 Cl 0.168 0.832 0.250
2 Mg 0.388 0.612 0.250
3 Cl 0.832 0.168 0.750
4 Mg 0.612 0.388 0.750

=====

- Among the records above, which one has the lowest calculated volume?
  number 2

=====

- Which value of final energy does entry 1 give?
  -5.17 eV/f.u.